[1]
A relaxed structure of MnZnNiAs, computed with PBE.

abc: 2.9847 3.0906 5.7422
angles: 90.00 98.91 90.00
Fractional coordinates of all 4 atoms:
Mn1 0.0000 0.0000 0.0000
Zn1 0.4154 0.5000 0.7134
Ni1 0.8438 0.0000 0.4856
As1 0.5575 0.5000 0.1896

## Properties
As for the total moment: 0.457 μB/cell. For the energy above the most stable polymorph in this dataset, the calculation gives 56 meV per atom. The calculation puts the formation energy at -0.03 eV per formula unit. The density of states at the Fermi level is 0.8536 states/eV per atom.

---

[2]
A relaxed structure of Rb2TaHgO4, computed with PBE.

abc: 6.1839 6.1839 6.1839
angles: 114.38 114.38 100.04
Fractional coordinates of all 8 atoms:
Rb1 0.0000 0.0000 0.0000
Rb2 0.7500 0.2500 0.5000
Ta1 0.5000 0.5000 0.0000
Hg1 0.2500 0.7500 0.5000
O1 0.2153 0.5407 0.0245
O2 0.4593 0.4839 0.6746
O3 0.5161 0.1907 0.9755
O4 0.8093 0.7847 0.3254

## Properties
The calculation puts the energy relative to the elements, uncorrected at -14.4 eV per formula unit. As for the total moment: 0.372 μB/cell. The density of states at the Fermi level is 0.5448 states/eV per atom.

---

[3]
A relaxed structure of CeMgSi2, computed with PBE.

abc: 5.5121 5.5121 5.5121
angles: 47.28 47.28 47.28
Fractional coordinates of all 4 atoms:
Ce1 0.0000 0.0000 0.0000
Mg1 0.5000 0.5000 0.5000
Si1 0.2226 0.2226 0.2226
Si2 0.7774 0.7774 0.7774

## Properties
The calculation puts the energy relative to the elements, uncorrected at -1.1 eV per formula unit. As for the total moment: 0.407 μB/cell. For the energy above the most stable polymorph in this dataset, the calculation gives 263 meV per atom. The density of states at the Fermi level is 1.2149 states/eV per atom.

---

[4]
A relaxed structure of GePtAu3, computed with PBE.

abc: 4.7749 4.7749 4.7749
angles: 90.00 90.00 90.00
Fractional coordinates of all 5 atoms:
Ge1 0.0000 0.0000 0.0000
Pt1 0.5000 0.5000 0.5000
Au1 0.0000 0.0000 0.5000
Au2 0.0000 0.5000 0.0000
Au3 0.5000 0.0000 0.0000

## Properties
As for the total moment: 0.000 μB/cell. For the energy above the most stable polymorph in this dataset, the calculation gives 0 meV per atom. The calculation puts the formation energy at 3.67 eV per formula unit. The density of states at the Fermi level is 0.9538 states/eV per atom.

---

[5]
A relaxed structure of Ba2PrCdO5, computed with PBE.

abc: 7.8612 7.8612 11.4478
angles: 90.00 90.00 152.47
Fractional coordinates of all 18 atoms:
Ba1 0.1116 0.8884 0.5000
Ba2 0.1293 0.8707 0.0959
Ba3 0.8707 0.1293 0.5959
Ba4 0.8884 0.1116 0.0000
Pr1 0.2133 0.7867 0.8072
Pr2 0.7867 0.2133 0.3072
Cd1 0.4844 0.5156 0.2814
Cd2 0.5156 0.4844 0.7814
O1 0.0593 0.9407 0.8642
O2 0.2835 0.7165 0.4481
O3 0.3036 0.6964 0.1746
O4 0.3665 0.6335 0.8093
O5 0.4987 0.5013 0.5904
O6 0.5013 0.4987 0.0904
O7 0.6335 0.3665 0.3093
O8 0.6964 0.3036 0.6746
O9 0.7165 0.2835 0.9481
O10 0.9407 0.0593 0.3642

## Properties
The calculation puts the energy relative to the elements, uncorrected at -19.7 eV per formula unit. As for the total moment: 2.149 μB/cell. The density of states at the Fermi level is 0.9507 states/eV per atom.

---

[6]
A relaxed structure of ZrScSi2, computed with PBE.

abc: 3.0266 3.9157 6.0207
angles: 90.00 96.14 90.00
Fractional coordinates of all 4 atoms:
Zr1 0.0000 0.0000 0.0000
Sc1 0.0000 0.0000 0.5000
Si1 0.4968 0.5000 0.2504
Si2 0.5032 0.5000 0.7496

## Properties
The calculation puts the energy relative to the elements, uncorrected at -2.1 eV per formula unit. As for the total moment: 0.001 μB/cell. For the energy above the most stable polymorph in this dataset, the calculation gives 353 meV per atom. The density of states at the Fermi level is 0.6285 states/eV per atom.